DyTm2MnN4 after structural relaxation, computed with PBE. Values from VASP.

Results
Energy relative to the elements, uncorrected   -1256 meV per atom
Theoretical density   9627 kg/m3
Energy   -8.26 eV/atom
Fermi-level density of states   5.1 states/eV/cell

Structure (Quantum ESPRESSO input):
```
&SYSTEM
  ibrav = 0, nat = 16, ntyp = 4
/
ATOMIC_SPECIES
Dy 162.50 Dy.upf
Tm 168.93 Tm.upf
Mn 54.94 Mn.upf
N 14.01 N.upf
ATOMIC_POSITIONS angstrom
Dy 1.661 4.274 8.493
Dy 1.661 -4.274 2.831
Tm 1.661 1.477 6.153
Tm 1.661 1.477 10.833
Tm 1.661 -1.477 0.491
Tm 1.661 -1.477 5.171
Mn 1.661 3.935 2.831
Mn 1.661 -3.935 8.493
N 0.000 0.000 0.000
N 0.000 0.000 5.662
N 1.661 2.622 1.484
N 1.661 2.622 4.178
N 1.661 0.783 8.493
N 1.661 -0.783 2.831
N 1.661 -2.622 7.146
N 1.661 -2.622 9.841
CELL_PARAMETERS angstrom
1.661 -5.605 0.000
1.661 5.605 0.000
0.000 0.000 11.324
```